The following is a PBEsol calculation of a relaxed KBr3 crystal, from the Alexandria database.

N(E_F), states/eV per atom: 0.0000
Space group: R-3m, No. 166
E_form (uncorrected), eV/f.u.: -3.44

a = 8.152 Å, b = 8.152 Å, c = 8.152 Å
α = 38.02°, β = 38.02°, γ = 38.02°
Positions (direct):
K  0.000  0.000  0.000
Br  0.388  0.388  0.388
Br  0.500  0.500  0.500
Br  0.612  0.612  0.612